No. 1
This record from OQMD via LeMat-Bulk describes a relaxed CsTaAgAu crystal. The functional is PBE.

## Properties
Excess energy over the best structure of this formula in the dataset: 0.1641 eV/atom

Cell: 5.0310 5.0310 5.0310 Å, 60.00 60.00 60.00°
Fractional positions:
Au 0.7500 0.7500 0.7500
Cs 0.0000 0.0000 0.0000
Ta 0.2500 0.2500 0.2500
Ag 0.5000 0.5000 0.5000


No. 2
This record from OQMD via LeMat-Bulk describes a relaxed LuMgAlPd crystal. The functional is PBE.

## Properties
Excess energy over the best structure of this formula in the dataset: 0.0109 eV/atom

Cell: 4.7031 4.7031 4.7031 Å, 60.00 60.00 60.00°
Fractional positions:
Pd 0.2500 0.2500 0.2500
Al 0.0000 0.0000 0.0000
Mg 0.7500 0.7500 0.7500
Lu 0.5000 0.5000 0.5000


Please write out number 2 again, unchanged.
This record from OQMD via LeMat-Bulk describes a relaxed LuMgAlPd crystal. The functional is PBE.

## Properties
Excess energy over the best structure of this formula in the dataset: 0.0109 eV/atom

Cell: 4.7031 4.7031 4.7031 Å, 60.00 60.00 60.00°
Fractional positions:
Pd 0.2500 0.2500 0.2500
Al 0.0000 0.0000 0.0000
Mg 0.7500 0.7500 0.7500
Lu 0.5000 0.5000 0.5000


- Which of these has the lowest excess energy over the best structure of this formula in the dataset?
  LuMgAlPd